1.
The following is a DFT calculation (PBE-GGA) of a relaxed Ca2ScTlN crystal.

It has space group P4/mmm (No. 123), with a = 5.043 Å, b = 5.043 Å, c = 4.330 Å, α = 90.00°, β = 90.00° and γ = 90.00°. Symmetry generates all atoms from Ca at (0.000, 0.500, 0.000), Sc at (0.000, 0.000, 0.500), Tl at (0.500, 0.500, 0.500) and N at (0.000, 0.000, 0.000).

For the uncorrected formation energy, the calculation gives -798.2 meV per atom. Its mass density is 5.2 g/cm3. Its crystal system is tetragonal. Its density of states at the Fermi level is 0.855 states/eV/cell. The total DFT energy (no corrections) is -5.00 eV per atom.

2.
The following is a DFT calculation (PBE-GGA) of a relaxed AgTePdRh crystal.

It has space group F-43m (No. 216), with a = 6.524 Å, b = 6.524 Å, c = 6.524 Å, α = 90.00°, β = 90.00° and γ = 90.00°. Symmetry generates all atoms from Ag at (0.000, 0.000, 0.000), Te at (0.000, 0.000, 0.500), Pd at (0.250, 0.250, 0.750) and Rh at (0.250, 0.250, 0.250).

For the uncorrected formation energy, the calculation gives -44.4 meV per atom. Its mass density is 10.6 g/cm3. Its crystal system is cubic. Its density of states at the Fermi level is 13.247 states/eV/cell. The total DFT energy (no corrections) is -4.68 eV per atom.